Record 1
Compound: LaCo2Tc
Source: the Alexandria database
Functional: GGA-PBE
Structure: relaxed

a = 4.7953 Å, b = 2.8630 Å, c = 5.2484 Å
α = 90.00°, β = 114.54°, γ = 90.00°
With the nearest neighbours (Å) after each atom.
Positions (direct):
La1 0.0000 0.0000 0.0000  6 Co 2.62-2.79, 2 La 2.86
Co1 0.0000 0.0000 0.5000  2 La 2.62, 4 Tc 2.79, 2 Co 2.86
Co2 0.5000 0.5000 0.0000  2 Tc 2.62, 4 La 2.79, 2 Co 2.86
Tc1 0.5000 0.5000 0.5000  6 Co 2.62-2.79, 2 Tc 2.86

Summary:
The energy relative to the lowest polymorph listed for this composition is 0.580 eV per atom. Its density of states at the Fermi level is 4.44 states/eV/cell. The value obtained for the total energy is -6.769 eV/atom. The formation energy is 58.57 kJ/mol of atoms. The value obtained for the total magnetization is 2.7 μB/f.u.


Record 2
Compound: CaPr2Cd
Source: the Alexandria database
Functional: GGA-PBE
Structure: relaxed

a = 4.8470 Å, b = 9.4027 Å, c = 6.5287 Å
α = 90.00°, β = 111.73°, γ = 90.00°
With the nearest neighbours (Å) after each atom.
Positions (direct):
Ca1 0.0620 0.2500 0.1236  3 Cd 3.50-3.54, 4 Pr 3.81
Ca2 0.9380 0.7500 0.8764  3 Cd 3.50-3.54, 4 Pr 3.81
Pr1 0.3603 0.0463 0.7203  3 Cd 3.20-3.28, 1 Pr 3.50
Pr2 0.3603 0.4537 0.7203  3 Cd 3.20-3.28, 1 Pr 3.50
Pr3 0.6397 0.5463 0.2797  3 Cd 3.20-3.28, 1 Pr 3.50
Pr4 0.6397 0.9537 0.2797  3 Cd 3.20-3.28, 1 Pr 3.50
Cd1 0.2296 0.7500 0.4597  6 Pr 3.20-3.28, 3 Ca 3.50-3.54
Cd2 0.7704 0.2500 0.5403  6 Pr 3.20-3.28, 3 Ca 3.50-3.54

Summary:
The energy relative to the lowest polymorph listed for this composition is 0.051 eV per atom. Its density of states at the Fermi level is 8.40 states/eV/cell. The value obtained for the total energy is -3.177 eV/atom. The formation energy is -5.62 kJ/mol of atoms. The value obtained for the total magnetization is 0.0 μB/f.u.


Record 3
Compound: Ti2Sn2Br
Source: the Alexandria database
Functional: GGA-PBE
Structure: relaxed

a = 7.5291 Å, b = 7.5291 Å, c = 3.7965 Å
α = 90.00°, β = 90.00°, γ = 90.00°
With the nearest neighbours (Å) after each atom.
Positions (direct):
Ti1 0.1626 0.3374 0.0000  2 Br 2.82, 6 Sn 2.87-2.95
Ti2 0.3374 0.8374 0.0000  2 Br 2.82, 6 Sn 2.87-2.95
Ti3 0.6626 0.1626 0.0000  2 Br 2.82, 6 Sn 2.87-2.95
Ti4 0.8374 0.6626 0.0000  2 Br 2.82, 6 Sn 2.87-2.95
Sn1 0.1357 0.6357 0.5000  6 Ti 2.87-2.95, 1 Sn 2.89
Sn2 0.3643 0.1357 0.5000  6 Ti 2.87-2.95, 1 Sn 2.89
Sn3 0.6357 0.8643 0.5000  6 Ti 2.87-2.95, 1 Sn 2.89
Sn4 0.8643 0.3643 0.5000  6 Ti 2.87-2.95, 1 Sn 2.89
Br1 0.0000 0.0000 0.0000  4 Ti 2.82
Br2 0.5000 0.5000 0.0000  4 Ti 2.82

Summary:
Its density of states at the Fermi level is 11.01 states/eV/cell. The value obtained for the total energy is -5.265 eV/atom. The energy relative to the elements, uncorrected is -0.172 eV/atom. The value obtained for the total magnetization is 0.6 μB/f.u.


Record 4
Compound: Li4ZnCu2
Source: the Alexandria database
Functional: GGA-PBE
Structure: relaxed

a = 9.0334 Å, b = 9.0334 Å, c = 2.6272 Å
α = 90.00°, β = 90.00°, γ = 90.00°
With the nearest neighbours (Å) after each atom.
Positions (direct):
Li1 0.0772 0.2945 0.0000  3 Cu 2.50-2.65, 3 Li 2.63-2.78
Li2 0.2055 0.5772 0.5000  3 Cu 2.50-2.65, 3 Li 2.63-2.78
Li3 0.2945 0.0772 0.0000  3 Cu 2.50-2.65, 3 Li 2.63-2.78
Li4 0.4228 0.7945 0.5000  3 Cu 2.50-2.65, 3 Li 2.63-2.78
Li5 0.5772 0.2055 0.5000  3 Cu 2.50-2.65, 3 Li 2.63-2.78
Li6 0.7055 0.9228 0.0000  3 Cu 2.50-2.65, 3 Li 2.63-2.78
Li7 0.7945 0.4228 0.5000  3 Cu 2.50-2.65, 3 Li 2.63-2.78
Li8 0.9228 0.7055 0.0000  3 Cu 2.50-2.65, 3 Li 2.63-2.78
Zn1 0.0000 0.0000 0.5000  4 Cu 2.54, 2 Zn 2.63
Zn2 0.5000 0.5000 0.0000  4 Cu 2.54, 2 Zn 2.63
Cu1 0.1702 0.8298 0.0000  6 Li 2.50-2.65, 2 Zn 2.54, 2 Cu 2.63
Cu2 0.3298 0.3298 0.5000  6 Li 2.50-2.65, 2 Zn 2.54, 2 Cu 2.63
Cu3 0.6702 0.6702 0.5000  6 Li 2.50-2.65, 2 Zn 2.54, 2 Cu 2.63
Cu4 0.8298 0.1702 0.0000  6 Li 2.50-2.65, 2 Zn 2.54, 2 Cu 2.63

Summary:
The energy relative to the lowest polymorph listed for this composition is 0.000 eV per atom. Its density of states at the Fermi level is 6.93 states/eV/cell. The value obtained for the total energy is -2.480 eV/atom. The formation energy is -3.29 kJ/mol of atoms. The value obtained for the total magnetization is 0.0 μB/f.u.


Record 5
Compound: VNi2Ir2
Source: the Alexandria database
Functional: GGA-PBE
Structure: relaxed

a = 5.0161 Å, b = 5.0161 Å, c = 6.7528 Å
α = 109.10°, β = 109.10°, γ = 54.26°
With the nearest neighbours (Å) after each atom.
Positions (direct):
V1 0.1662 0.8338 0.7500  6 Ir 2.57-2.67, 6 Ni 2.59-2.66
V2 0.8338 0.1662 0.2500  6 Ir 2.57-2.67, 6 Ni 2.59-2.66
Ni1 0.2442 0.5592 0.0554  3 Ni 2.57-2.67, 6 Ir 2.57-2.68, 3 V 2.59-2.66
Ni2 0.4408 0.7558 0.4446  3 Ni 2.57-2.67, 6 Ir 2.57-2.68, 3 V 2.59-2.66
Ni3 0.5592 0.2442 0.5554  3 Ni 2.57-2.67, 6 Ir 2.57-2.68, 3 V 2.59-2.66
Ni4 0.7558 0.4408 0.9446  3 Ni 2.57-2.67, 6 Ir 2.57-2.68, 3 V 2.59-2.66
Ir1 0.0313 0.3590 0.6504  6 Ni 2.57-2.68, 3 V 2.57-2.67, 3 Ir 2.65-2.68
Ir2 0.3590 0.0313 0.1504  6 Ni 2.57-2.68, 3 V 2.57-2.67, 3 Ir 2.65-2.68
Ir3 0.6410 0.9687 0.8496  6 Ni 2.57-2.68, 3 V 2.57-2.67, 3 Ir 2.65-2.68
Ir4 0.9687 0.6410 0.3496  6 Ni 2.57-2.68, 3 V 2.57-2.67, 3 Ir 2.65-2.68

Summary:
The energy relative to the lowest polymorph listed for this composition is 0.000 eV per atom. Its density of states at the Fermi level is 12.32 states/eV/cell. The value obtained for the total energy is -7.929 eV/atom. The formation energy is -23.99 kJ/mol of atoms. The value obtained for the total magnetization is 0.0 μB/f.u.


Record 6
Compound: La4RuCl
Source: the Alexandria database
Functional: GGA-PBE
Structure: relaxed

a = 6.2420 Å, b = 6.2420 Å, c = 6.2420 Å
α = 60.00°, β = 60.00°, γ = 60.00°
With the nearest neighbours (Å) after each atom.
Positions (direct):
La1 0.1241 0.1241 0.1241  6 La 3.10-3.14
La2 0.1241 0.1241 0.6278  6 La 3.10-3.14
La3 0.1241 0.6278 0.1241  6 La 3.10-3.14
La4 0.6278 0.1241 0.1241  6 La 3.10-3.14
Ru1 0.7500 0.7500 0.7500  12 La 3.66, 4 Cl 3.82
Cl1 0.5000 0.5000 0.5000  12 La 3.66, 4 Ru 3.82

Summary:
Its density of states at the Fermi level is 11.32 states/eV/cell. The value obtained for the total energy is -4.631 eV/atom. The energy relative to the elements, uncorrected is 0.508 eV/atom. The value obtained for the total magnetization is 0.3 μB/f.u.